Entry 1:
A relaxed structure of MgSc2Al, computed with GGA-PBE.

Lattice parameters (Å, degrees): 5.555 5.555 5.555 134.45 134.45 66.39
Fractional coordinates of all 4 atoms:
Sc: 0.000 0.000 0.000
Al: 0.500 0.500 0.000
Sc: 0.250 0.750 0.500
Mg: 0.750 0.250 0.500

## Properties
For the offset from the most stable computed form, the calculation gives 165 meV/atom. For the energy of formation from the pure elements, the calculation gives -0.49 eV per formula unit. For the final energy, the calculation gives -4.623 eV per atom.



Entry 2:
A relaxed structure of CeZrInHg, computed with GGA-PBE.

Lattice parameters (Å, degrees): 3.253 3.253 9.005 90.00 90.00 90.00
Fractional coordinates of all 4 atoms:
Zr: 0.000 0.000 0.568
Hg: 0.500 0.500 0.337
Ce: 0.000 0.000 0.075
In: 0.500 0.500 0.804

## Properties
For the offset from the most stable computed form, the calculation gives 0 meV/atom. For the energy of formation from the pure elements, the calculation gives -1.17 eV per formula unit. For the final energy, the calculation gives -4.672 eV per atom.



Entry 3:
A relaxed structure of ReI3, computed with GGA-PBE.

Lattice parameters (Å, degrees): 11.296 9.295 10.063 72.64 90.00 90.00
Fractional coordinates of all 24 atoms:
I: 0.413 0.553 0.191
I: 0.090 0.148 0.016
I: 0.750 0.410 0.478
Re: 0.750 0.145 0.659
Re: 0.861 0.156 0.866
I: 0.910 0.852 0.984
Re: 0.250 0.855 0.341
I: 0.913 0.447 0.809
I: 0.005 0.857 0.360
I: 0.250 0.839 0.891
I: 0.750 0.161 0.109
I: 0.995 0.143 0.640
I: 0.750 0.873 0.630
Re: 0.361 0.844 0.134
Re: 0.639 0.156 0.866
I: 0.590 0.852 0.984
I: 0.410 0.148 0.016
I: 0.505 0.143 0.640
Re: 0.139 0.844 0.134
I: 0.587 0.447 0.809
I: 0.087 0.553 0.191
I: 0.495 0.857 0.360
I: 0.250 0.590 0.522
I: 0.250 0.127 0.370

## Properties
For the offset from the most stable computed form, the calculation gives 0 meV/atom. For the final energy, the calculation gives -4.319 eV per atom. As for the uncorrected formation energy: -0.0443 eV per atom.



Entry 4:
A relaxed structure of AlTc2Ni, computed with GGA-PBE.

Lattice parameters (Å, degrees): 6.868 6.868 5.465 51.07 51.07 90.00
Fractional coordinates of all 8 atoms:
Ni: 0.750 0.250 0.500
Tc: 0.375 0.354 0.750
Al: 0.500 0.500 0.000
Al: 0.250 0.750 0.500
Tc: 0.875 0.896 0.750
Tc: 0.104 0.625 0.250
Tc: 0.646 0.125 0.250
Ni: 0.000 0.000 0.000

## Properties
For the energy of formation from the pure elements, the calculation gives 1.66 eV per formula unit. For the final energy, the calculation gives -7.149 eV per atom.



Entry 5:
A relaxed structure of La2GeSe, computed with GGA-PBE.

Lattice parameters (Å, degrees): 6.663 6.663 8.555 67.08 67.08 90.00
Fractional coordinates of all 8 atoms:
La: 0.133 0.625 0.250
Ge: 0.250 0.750 0.500
La: 0.875 0.867 0.750
Se: 0.000 0.000 0.000
La: 0.617 0.125 0.250
Ge: 0.500 0.500 0.000
La: 0.375 0.383 0.750
Se: 0.750 0.250 0.500

## Properties
For the offset from the most stable computed form, the calculation gives 489 meV/atom. For the final energy, the calculation gives -5.464 eV per atom. As for the uncorrected formation energy: -0.9749 eV per atom.



Entry 6:
A relaxed structure of Nd2TlAs, computed with GGA-PBE.

Lattice parameters (Å, degrees): 4.176 4.176 8.392 75.59 75.59 60.00
Fractional coordinates of all 4 atoms:
Nd: 0.262 0.262 0.213
Nd: 0.738 0.738 0.787
As: 0.000 0.000 0.000
Tl: 0.500 0.500 0.500

## Properties
For the offset from the most stable computed form, the calculation gives 0 meV/atom. For the energy of formation from the pure elements, the calculation gives -3.62 eV per formula unit. For the final energy, the calculation gives -5.044 eV per atom.



Entry 7:
A relaxed structure of Sm2YTm9, computed with GGA-PBE.

Lattice parameters (Å, degrees): 3.480 11.116 11.116 120.00 90.00 90.00
Fractional coordinates of all 12 atoms:
Sm: 0.000 0.333 0.667
Tm: 0.500 0.824 0.649
Tm: 0.500 0.176 0.351
Tm: 0.000 0.000 0.500
Sm: 0.000 0.667 0.333
Tm: 0.500 0.824 0.176
Tm: 0.500 0.351 0.176
Tm: 0.500 0.649 0.824
Tm: 0.000 0.500 0.500
Tm: 0.000 0.500 0.000
Tm: 0.500 0.176 0.824
Y: 0.000 0.000 0.000

## Properties
For the offset from the most stable computed form, the calculation gives 38 meV/atom. For the energy of formation from the pure elements, the calculation gives 0.78 eV per formula unit. For the final energy, the calculation gives -4.613 eV per atom.



Entry 8:
A relaxed structure of NpTeH, computed with GGA-PBE.

Lattice parameters (Å, degrees): 3.847 5.996 5.996 83.87 71.29 71.29
Fractional coordinates of all 6 atoms:
Te: 0.739 0.761 0.761
Te: 0.261 0.239 0.239
Np: 0.000 0.791 0.209
H: 0.500 0.325 0.675
H: 0.500 0.675 0.325
Np: 0.000 0.209 0.791

## Properties
For the final energy, the calculation gives -6.874 eV per atom.